Below is a geometry-optimized LiMnO3 structure, with properties calculated at the PBE with a Hubbard U level.

POSCAR file:
```
LiMnO3
1.0
-1.3389 2.6426 4.0588
-4.1189 -3.1532 0.6942
3.8718 -4.1777 3.9973
Li O Mn
4 12 4
direct
0.0121 0.9386 0.2500
0.5121 0.5614 0.7500
0.4879 0.4386 0.2500
0.9879 0.0614 0.7500
0.6893 0.3041 0.9227
0.1423 0.4521 0.7500
0.8107 0.8041 0.9227
0.3107 0.6959 0.0773
0.8577 0.5479 0.2500
0.6893 0.3041 0.5773
0.3107 0.6959 0.4227
0.6423 0.0479 0.2500
0.3577 0.9521 0.7500
0.1893 0.1959 0.4227
0.8107 0.8041 0.5773
0.1893 0.1959 0.0773
0.5000 0.0000 0.0000
0.0000 0.5000 0.0000
0.0000 0.5000 0.5000
0.5000 0.0000 0.5000
```

Values from the calculation:
For the calculated density, the calculation gives 4.0 g cm⁻³. The value obtained for the energy is -6.120 eV/atom. The spin magnetization is 2.000 μB per formula unit. The space group is No. 62.